No. 1
# GGA-PBE CaAc2PbN, optimized geometry
# SG	No. 123
# V	28.824	Å³ per atom
# ΔE_f (raw)	-0.780	eV/atom
# raw total energy	-5.23	eV per atom
# mass density	8.24	g/cm3
data_CaAc2PbN
_chemical_formula_sum 'Ca1 Ac2 Pb1 N1'
_cell_length_a 5.361
_cell_length_b 5.361
_cell_length_c 5.015
_cell_angle_alpha 90.00
_cell_angle_beta 90.00
_cell_angle_gamma 90.00
_space_group_name_H-M_alt 'P 1'
_space_group_IT_number 1
_space_group_name_Hall 'P 1'
loop_
_atom_site_label
_atom_site_type_symbol
_atom_site_fract_x
_atom_site_fract_y
_atom_site_fract_z
Ca1 Ca 0.000 0.000 0.000
Ac1 Ac 0.000 0.500 0.500
Ac2 Ac 0.500 0.000 0.500
Pb1 Pb 0.500 0.500 0.000
N1 N 0.000 0.000 0.500



No. 2
# GGA-PBE CaAc2Pm3N6, optimized geometry
# SG	No. 12
# V	18.027	Å³ per atom
# ΔE_f (raw)	-1.119	eV/atom
# raw total energy	-7.32	eV per atom
# mass density	7.78	g/cm3
data_CaAc2Pm3N6
_chemical_formula_sum 'Ca1 Ac2 Pm3 N6'
_cell_length_a 8.306
_cell_length_b 8.306
_cell_length_c 7.431
_cell_angle_alpha 103.44
_cell_angle_beta 103.44
_cell_angle_gamma 25.75
_space_group_name_H-M_alt 'P 1'
_space_group_IT_number 1
_space_group_name_Hall 'P 1'
loop_
_atom_site_label
_atom_site_type_symbol
_atom_site_fract_x
_atom_site_fract_y
_atom_site_fract_z
Ca1 Ca 0.000 0.000 0.000
Ac1 Ac 0.337 0.337 0.676
Ac2 Ac 0.663 0.663 0.324
Pm1 Pm 0.000 0.000 0.500
Pm2 Pm 0.338 0.338 0.164
Pm3 Pm 0.662 0.662 0.836
N1 N 0.163 0.163 0.592
N2 N 0.171 0.171 0.076
N3 N 0.496 0.496 0.260
N4 N 0.504 0.504 0.740
N5 N 0.829 0.829 0.924
N6 N 0.837 0.837 0.408



No. 3
# GGA-PBE CaAcPuN3, optimized geometry
# SG	No. 11
# V	19.123	Å³ per atom
# ΔE_f (raw)	-0.840	eV/atom
# raw total energy	-8.41	eV per atom
# mass density	8.00	g/cm3
data_CaAcPuN3
_chemical_formula_sum 'Ca2 Ac2 Pu2 N6'
_cell_length_a 6.447
_cell_length_b 3.727
_cell_length_c 10.036
_cell_angle_alpha 90.00
_cell_angle_beta 107.88
_cell_angle_gamma 90.00
_space_group_name_H-M_alt 'P 1'
_space_group_IT_number 1
_space_group_name_Hall 'P 1'
loop_
_atom_site_label
_atom_site_type_symbol
_atom_site_fract_x
_atom_site_fract_y
_atom_site_fract_z
Ca1 Ca 0.016 0.250 0.367
Ca2 Ca 0.984 0.750 0.633
Ac1 Ac 0.497 0.250 0.669
Ac2 Ac 0.503 0.750 0.331
Pu1 Pu 0.051 0.250 0.932
Pu2 Pu 0.949 0.750 0.068
N1 N 0.162 0.250 0.166
N2 N 0.173 0.250 0.782
N3 N 0.284 0.750 0.518
N4 N 0.716 0.250 0.482
N5 N 0.827 0.750 0.218
N6 N 0.838 0.750 0.834



No. 4
# GGA-PBE CaAcRe2N5, optimized geometry
# SG	No. 123
# V	12.970	Å³ per atom
# ΔE_f (raw)	-0.661	eV/atom
# raw total energy	-8.73	eV per atom
# mass density	10.09	g/cm3
data_CaAcRe2N5
_chemical_formula_sum 'Ca1 Ac1 Re2 N5'
_cell_length_a 3.980
_cell_length_b 3.980
_cell_length_c 7.370
_cell_angle_alpha 90.00
_cell_angle_beta 90.00
_cell_angle_gamma 90.00
_space_group_name_H-M_alt 'P 1'
_space_group_IT_number 1
_space_group_name_Hall 'P 1'
loop_
_atom_site_label
_atom_site_type_symbol
_atom_site_fract_x
_atom_site_fract_y
_atom_site_fract_z
Ca1 Ca 0.000 0.000 0.000
Ac1 Ac 0.000 0.000 0.500
Re1 Re 0.500 0.500 0.236
Re2 Re 0.500 0.500 0.764
N1 N 0.000 0.500 0.219
N2 N 0.000 0.500 0.781
N3 N 0.500 0.000 0.219
N4 N 0.500 0.000 0.781
N5 N 0.500 0.500 0.500



No. 5
# GGA-PBE Ca2AcReN4, optimized geometry
# SG	No. 63
# V	16.451	Å³ per atom
# ΔE_f (raw)	-0.717	eV/atom
# raw total energy	-7.45	eV per atom
# mass density	6.93	g/cm3
data_Ca2AcReN4
_chemical_formula_sum 'Ca4 Ac2 Re2 N8'
_cell_length_a 6.447
_cell_length_b 6.447
_cell_length_c 12.108
_cell_angle_alpha 90.00
_cell_angle_beta 90.00
_cell_angle_gamma 148.46
_space_group_name_H-M_alt 'P 1'
_space_group_IT_number 1
_space_group_name_Hall 'P 1'
loop_
_atom_site_label
_atom_site_type_symbol
_atom_site_fract_x
_atom_site_fract_y
_atom_site_fract_z
Ca1 Ca 0.124 0.876 0.535
Ca2 Ca 0.124 0.876 0.965
Ca3 Ca 0.876 0.124 0.035
Ca4 Ca 0.876 0.124 0.465
Ac1 Ac 0.430 0.570 0.750
Ac2 Ac 0.570 0.430 0.250
Re1 Re 0.315 0.685 0.250
Re2 Re 0.685 0.315 0.750
N1 N 0.094 0.906 0.750
N2 N 0.232 0.768 0.127
N3 N 0.232 0.768 0.373
N4 N 0.500 0.500 0.000
N5 N 0.500 0.500 0.500
N6 N 0.768 0.232 0.627
N7 N 0.768 0.232 0.873
N8 N 0.906 0.094 0.250



No. 6
# GGA-PBE CaAc3Re2N6, optimized geometry
# SG	No. 164
# V	18.833	Å³ per atom
# ΔE_f (raw)	-0.742	eV/atom
# raw total energy	-8.17	eV per atom
# mass density	8.65	g/cm3
data_CaAc3Re2N6
_chemical_formula_sum 'Ca1 Ac3 Re2 N6'
_cell_length_a 6.086
_cell_length_b 6.086
_cell_length_c 7.044
_cell_angle_alpha 90.00
_cell_angle_beta 90.00
_cell_angle_gamma 120.00
_space_group_name_H-M_alt 'P 1'
_space_group_IT_number 1
_space_group_name_Hall 'P 1'
loop_
_atom_site_label
_atom_site_type_symbol
_atom_site_fract_x
_atom_site_fract_y
_atom_site_fract_z
Ca1 Ca 0.000 0.000 0.000
Ac1 Ac 0.000 0.000 0.500
Ac2 Ac 0.333 0.667 0.212
Ac3 Ac 0.667 0.333 0.788
Re1 Re 0.333 0.667 0.701
Re2 Re 0.667 0.333 0.299
N1 N 0.168 0.336 0.780
N2 N 0.168 0.832 0.780
N3 N 0.336 0.168 0.220
N4 N 0.664 0.832 0.780
N5 N 0.832 0.168 0.220
N6 N 0.832 0.664 0.220



No. 7
# GGA-PBE Ca2AcRuN4, optimized geometry
# SG	No. 63
# V	15.885	Å³ per atom
# ΔE_f (raw)	-0.556	eV/atom
# raw total energy	-6.89	eV per atom
# mass density	6.07	g/cm3
data_Ca2AcRuN4
_chemical_formula_sum 'Ca4 Ac2 Ru2 N8'
_cell_length_a 6.281
_cell_length_b 6.281
_cell_length_c 11.895
_cell_angle_alpha 90.00
_cell_angle_beta 90.00
_cell_angle_gamma 147.21
_space_group_name_H-M_alt 'P 1'
_space_group_IT_number 1
_space_group_name_Hall 'P 1'
loop_
_atom_site_label
_atom_site_type_symbol
_atom_site_fract_x
_atom_site_fract_y
_atom_site_fract_z
Ca1 Ca 0.128 0.872 0.537
Ca2 Ca 0.128 0.872 0.963
Ca3 Ca 0.872 0.128 0.037
Ca4 Ca 0.872 0.128 0.463
Ac1 Ac 0.398 0.602 0.750
Ac2 Ac 0.602 0.398 0.250
Ru1 Ru 0.336 0.664 0.250
Ru2 Ru 0.664 0.336 0.750
N1 N 0.090 0.910 0.750
N2 N 0.230 0.770 0.134
N3 N 0.230 0.770 0.366
N4 N 0.500 0.500 0.000
N5 N 0.500 0.500 0.500
N6 N 0.770 0.230 0.634
N7 N 0.770 0.230 0.866
N8 N 0.910 0.090 0.250



No. 8
# GGA-PBE CaAcSN, optimized geometry
# SG	No. 160
# V	22.450	Å³ per atom
# ΔE_f (raw)	-1.575	eV/atom
# raw total energy	-6.22	eV per atom
# mass density	5.79	g/cm3
data_CaAcSN
_chemical_formula_sum 'Ca1 Ac1 S1 N1'
_cell_length_a 6.986
_cell_length_b 6.986
_cell_length_c 6.986
_cell_angle_alpha 32.96
_cell_angle_beta 32.96
_cell_angle_gamma 32.96
_space_group_name_H-M_alt 'P 1'
_space_group_IT_number 1
_space_group_name_Hall 'P 1'
loop_
_atom_site_label
_atom_site_type_symbol
_atom_site_fract_x
_atom_site_fract_y
_atom_site_fract_z
Ca1 Ca 0.000 0.000 0.000
Ac1 Ac 0.524 0.524 0.524
S1 S 0.749 0.749 0.749
N1 N 0.251 0.251 0.251